(1)
A geometry-optimized NpIn2Ni7P2 structure, computed with GGA-PBE.

Cell and atoms, written as POSCAR:
```
NpIn2Ni7P2
1.0
2.808 -3.159 0.000
2.808 3.159 0.000
-1.081 0.000 10.362
Np In Ni P
1 2 7 2
Direct
0.000 0.000 0.000
0.125 0.125 0.380
0.875 0.875 0.620
0.174 0.569 0.207
0.380 0.380 0.603
0.431 0.826 0.793
0.500 0.500 0.000
0.569 0.174 0.207
0.620 0.620 0.397
0.826 0.431 0.793
0.306 0.306 0.805
0.694 0.694 0.195
```

Output
space-group type	No. 12
DFT total energy	-6.001	eV/atom
V	183.9	Å³ per cell
energy of formation	-0.192	eV per atom

(2)
A geometry-optimized NpInNiPd structure, computed with GGA-PBE.

Cell and atoms, written as POSCAR:
```
NpInNiPd
1.0
6.710 0.000 0.000
0.000 6.710 0.000
0.000 0.000 6.710
Np In Ni Pd
4 4 4 4
Direct
0.000 0.000 0.000
0.000 0.500 0.500
0.500 0.000 0.500
0.500 0.500 0.000
0.000 0.000 0.500
0.000 0.500 0.000
0.500 0.000 0.000
0.500 0.500 0.500
0.250 0.250 0.750
0.250 0.750 0.250
0.750 0.250 0.250
0.750 0.750 0.750
0.250 0.250 0.250
0.250 0.750 0.750
0.750 0.250 0.750
0.750 0.750 0.250
```

Output
space-group type	No. 216
DFT total energy	-6.779	eV/atom
V	302.1	Å³ per cell
energy of formation	-0.116	eV per atom

(3)
A geometry-optimized NpInNiRh structure, computed with GGA-PBE.

Cell and atoms, written as POSCAR:
```
NpInNiRh
1.0
6.624 0.000 0.000
0.000 6.624 0.000
0.000 0.000 6.624
Np In Ni Rh
4 4 4 4
Direct
0.000 0.000 0.000
0.000 0.500 0.500
0.500 0.000 0.500
0.500 0.500 0.000
0.000 0.000 0.500
0.000 0.500 0.000
0.500 0.000 0.000
0.500 0.500 0.500
0.250 0.250 0.250
0.250 0.750 0.750
0.750 0.250 0.750
0.750 0.750 0.250
0.250 0.250 0.750
0.250 0.750 0.250
0.750 0.250 0.250
0.750 0.750 0.750
```

Output
space-group type	No. 216
DFT total energy	-7.361	eV/atom
V	290.6	Å³ per cell
energy of formation	-0.159	eV per atom